i | VASP calculation (PBE-GGA) on a relaxed MgGaAu4 crystal.

## Properties
Size of the total moment = 0.00 μB per formula unit
SG = P-1, No. 2

a = 4.7123 Å, b = 4.7896 Å, c = 5.2499 Å
α = 63.24°, β = 89.95°, γ = 89.89°
Atoms (fractional coordinates):
Mg: 0.0000 0.0000 0.0000
Ga: 0.5000 0.5000 0.0000
Au: 0.9999 0.3443 0.3145
Au: 0.0001 0.6557 0.6855
Au: 0.5000 0.1537 0.6882
Au: 0.5000 0.8463 0.3118



ii | VASP calculation (PBE-GGA) on a relaxed MgGaAu4 crystal.

## Properties
Size of the total moment = 0.00 μB per formula unit
SG = Pmmm, No. 47

a = 3.7347 Å, b = 4.3387 Å, c = 7.3715 Å
α = 90.00°, β = 90.00°, γ = 90.00°
Atoms (fractional coordinates):
Mg: 0.0000 0.0000 0.0000
Ga: 0.5000 0.5000 0.5000
Au: 0.0000 0.5000 0.2316
Au: 0.0000 0.5000 0.7684
Au: 0.5000 0.0000 0.2896
Au: 0.5000 0.0000 0.7104



Question: of the structures shown, which is the least stable? Reply: ii.